The following is a PBE calculation of crystalline V6CrFe2 at its relaxed geometry, from the Alexandria database.

Properties
ρ = 6.971 g cm⁻³
Raw total energy = -82.1 eV per formula unit
DOS at the Fermi energy = 9.62 states/eV per cell
Excess energy over the best structure of this formula in the dataset = 0.0000 eV/atom
Space-group type = P-3m1

```
9
Lattice="-1.004 0.025 -4.008 -3.886 -0.788 -1.161 -1.630 7.370 0.455" Properties=species:S:1:pos:R:3 pbc="T T T"
Cr -0.815 3.685 0.228
Fe -3.355 -0.082 -3.420
V -3.894 2.359 -3.269
V -1.366 6.177 0.382
V -2.626 4.249 -1.445
V -4.454 4.888 -3.113
V -5.154 0.430 -5.095
V -2.067 1.719 -1.601
Fe -3.166 6.690 -1.294
```